[1]
{
  "formula": "Ta2ReSb",
  "functional": "PBE",
  "state": "relaxed",
  "lattice": [[0.0000, 3.2904, 3.2904], [3.2904, 0.0000, 3.2904], [3.2904, 3.2904, 0.0000]],
  "species": ["Ta", "Ta", "Re", "Sb"],
  "fractional_positions": [[0.0000, 0.0000, 0.0000], [0.2500, 0.2500, 0.2500], [0.7500, 0.7500, 0.7500], [0.5000, 0.5000, 0.5000]],
  "e_form_raw_kj_per_mol_atoms": 26.1,
  "sg": "F-43m, No. 216"
}

[2]
{
  "formula": "MnCdOs",
  "functional": "PBE",
  "state": "relaxed",
  "lattice": [[0.0000, 2.3088, 6.8495], [1.5230, 0.0000, 6.8495], [1.5230, 2.3088, 0.0000]],
  "species": ["Mn", "Cd", "Os"],
  "fractional_positions": [[0.0000, 0.0000, 0.0000], [0.3251, 0.3251, 0.6749], [0.6421, 0.6421, 0.3579]],
  "e_above_lowest_polymorph_mev_per_atom": 143,
  "sg": "Fmm2, No. 42",
  "e_form_ev_per_fu": 1.3
}

[3]
{
  "formula": "GaP2PbS",
  "functional": "PBE",
  "state": "relaxed",
  "lattice": [[4.7374, 0.0000, 0.0000], [0.0000, 4.7374, 0.0000], [0.0000, 0.0000, 4.9239]],
  "species": ["Ga", "P", "P", "Pb", "S"],
  "fractional_positions": [[0.0000, 0.0000, 0.0000], [0.0000, 0.5000, 0.0000], [0.5000, 0.0000, 0.0000], [0.5000, 0.5000, 0.5000], [0.0000, 0.0000, 0.5000]],
  "e_form_raw_kj_per_mol_atoms": 42.7,
  "e_above_lowest_polymorph_mev_per_atom": 0,
  "sg": "P4/mmm, No. 123"
}

[4]
{
  "formula": "La6TbTl",
  "functional": "PBE",
  "state": "relaxed",
  "lattice": [[5.1241, 0.0000, 0.0000], [0.0000, 5.1241, 0.0000], [0.0000, 0.0000, 10.4110]],
  "species": ["La", "La", "La", "La", "La", "La", "Tb", "Tl"],
  "fractional_positions": [[0.0000, 0.0000, 0.0000], [0.0000, 0.0000, 0.5000], [0.0000, 0.5000, 0.2458], [0.0000, 0.5000, 0.7542], [0.5000, 0.0000, 0.2458], [0.5000, 0.0000, 0.7542], [0.5000, 0.5000, 0.5000], [0.5000, 0.5000, 0.0000]],
  "e_above_lowest_polymorph_mev_per_atom": 0,
  "sg": "P4/mmm, No. 123",
  "e_form_ev_per_fu": -0.8
}

[5]
{
  "formula": "K2MgZnP2",
  "functional": "PBE",
  "state": "relaxed",
  "lattice": [[-3.0578, 7.6792, 3.0828], [3.0578, -7.6792, 3.0828], [3.0578, 7.6792, -3.0828]],
  "species": ["K", "K", "K", "K", "Mg", "Mg", "Zn", "Zn", "P", "P", "P", "P"],
  "fractional_positions": [[0.1759, 0.2428, 0.4187], [0.3241, 0.7428, 0.0668], [0.6759, 0.2572, 0.9332], [0.8241, 0.7572, 0.5813], [0.2500, 0.7500, 0.5000], [0.7500, 0.2500, 0.5000], [0.2500, 0.2500, 0.0000], [0.7500, 0.7500, 0.0000], [0.0920, 0.7593, 0.8512], [0.4080, 0.2593, 0.6673], [0.5920, 0.7407, 0.3327], [0.9080, 0.2407, 0.1488]],
  "sg": "Ibam, No. 72",
  "e_form_ev_per_fu": -3.2
}

[6]
{
  "formula": "Sm2Tm3Al3",
  "functional": "PBE",
  "state": "relaxed",
  "lattice": [[-1.8364, 2.5453, 10.8216], [1.8364, -2.5453, 10.8216], [1.8364, 2.5453, -10.8216]],
  "species": ["Sm", "Sm", "Tm", "Tm", "Tm", "Al", "Al", "Al"],
  "fractional_positions": [[0.2292, 0.2292, 0.0000], [0.7708, 0.7708, 0.0000], [0.0000, 0.0000, 0.0000], [0.3825, 0.8825, 0.5000], [0.6175, 0.1175, 0.5000], [0.1126, 0.6126, 0.5000], [0.5000, 0.5000, 0.0000], [0.8874, 0.3874, 0.5000]],
  "e_above_lowest_polymorph_mev_per_atom": 0,
  "sg": "Immm, No. 71",
  "e_form_ev_per_fu": -2.2
}

[7]
{
  "formula": "La4SiW",
  "functional": "PBE",
  "state": "relaxed",
  "lattice": [[0.0000, 4.3755, 4.3755], [4.3755, 0.0000, 4.3755], [4.3755, 4.3755, 0.0000]],
  "species": ["La", "La", "La", "La", "Si", "W"],
  "fractional_positions": [[0.3757, 0.3757, 0.3757], [0.3757, 0.3757, 0.8728], [0.3757, 0.8728, 0.3757], [0.8728, 0.3757, 0.3757], [0.0000, 0.0000, 0.0000], [0.7500, 0.7500, 0.7500]],
  "e_form_raw_kj_per_mol_atoms": 94.2,
  "sg": "F-43m, No. 216"
}

[8]
{
  "formula": "RbSnPd",
  "functional": "PBE",
  "state": "relaxed",
  "lattice": [[2.3205, 1.3397, 12.3205], [-2.3205, 1.3397, 12.3205], [0.0000, -2.6794, 12.3205]],
  "species": ["Rb", "Rb", "Sn", "Sn", "Pd", "Pd"],
  "fractional_positions": [[0.1046, 0.1046, 0.1046], [0.8954, 0.8954, 0.8954], [0.3023, 0.3023, 0.3023], [0.6977, 0.6977, 0.6977], [0.3744, 0.3744, 0.3744], [0.6256, 0.6256, 0.6256]],
  "e_above_lowest_polymorph_mev_per_atom": 142,
  "sg": "R-3m, No. 166",
  "e_form_ev_per_fu": -0.7
}

[9]
{
  "formula": "TbTmCdHg",
  "functional": "PBE",
  "state": "relaxed",
  "lattice": [[0.0000, 3.7156, 3.7156], [3.7156, 0.0000, 3.7156], [3.7156, 3.7156, 0.0000]],
  "species": ["Tb", "Tm", "Cd", "Hg"],
  "fractional_positions": [[0.0000, 0.0000, 0.0000], [0.5000, 0.5000, 0.5000], [0.2500, 0.2500, 0.2500], [0.7500, 0.7500, 0.7500]],
  "sg": "F-43m, No. 216",
  "e_form_ev_per_fu": -1.6
}

[10]
{
  "formula": "LiErSi2Pt2",
  "functional": "PBE",
  "state": "relaxed",
  "lattice": [[4.2072, 0.0000, 0.0000], [-2.1036, 3.6436, 0.0000], [0.0000, 0.0000, 6.5134]],
  "species": ["Li", "Er", "Si", "Si", "Pt", "Pt"],
  "fractional_positions": [[0.0000, 0.0000, 0.0000], [0.0000, 0.0000, 0.5000], [0.3333, 0.6667, 0.8051], [0.6667, 0.3333, 0.1949], [0.3333, 0.6667, 0.2059], [0.6667, 0.3333, 0.7941]],
  "e_form_raw_kj_per_mol_atoms": -94.7,
  "sg": "P-3m1, No. 164"
}

[11]
{
  "formula": "UAlPt3",
  "functional": "PBE",
  "state": "relaxed",
  "lattice": [[2.7008, -7.2474, 0.0000], [2.7008, 7.2474, 0.0000], [0.0000, 0.0000, 5.1403]],
  "species": ["U", "U", "Al", "Al", "Pt", "Pt", "Pt", "Pt", "Pt", "Pt"],
  "fractional_positions": [[0.0543, 0.9457, 0.7500], [0.9457, 0.0543, 0.2500], [0.3482, 0.6518, 0.7500], [0.6518, 0.3482, 0.2500], [0.0539, 0.4696, 0.2500], [0.4696, 0.0539, 0.7500], [0.5000, 0.5000, 0.0000], [0.5000, 0.5000, 0.5000], [0.5304, 0.9461, 0.2500], [0.9461, 0.5304, 0.7500]],
  "sg": "Cmcm, No. 63",
  "e_form_ev_per_fu": -1.8
}

[12]
{
  "formula": "LaP3Rh5",
  "functional": "PBE",
  "state": "relaxed",
  "lattice": [[1.9592, -6.0599, 0.0000], [1.9592, 6.0599, 0.0000], [0.0000, 0.0000, 12.2573]],
  "species": ["La", "La", "P", "P", "P", "P", "P", "P", "Rh", "Rh", "Rh", "Rh", "Rh", "Rh", "Rh", "Rh", "Rh", "Rh"],
  "fractional_positions": [[0.1519, 0.8481, 0.7500], [0.8481, 0.1519, 0.2500], [0.1156, 0.8844, 0.2500], [0.3896, 0.6104, 0.0441], [0.3896, 0.6104, 0.4559], [0.6104, 0.3896, 0.5441], [0.6104, 0.3896, 0.9559], [0.8844, 0.1156, 0.7500], [0.0000, 0.0000, 0.0000], [0.0000, 0.0000, 0.5000], [0.2098, 0.7902, 0.0762], [0.2098, 0.7902, 0.4238], [0.4389, 0.5611, 0.6407], [0.4389, 0.5611, 0.8593], [0.5611, 0.4389, 0.1407], [0.5611, 0.4389, 0.3593], [0.7902, 0.2098, 0.5762], [0.7902, 0.2098, 0.9238]],
  "sg": "Cmcm, No. 63",
  "e_form_ev_per_fu": -7.9
}

[13]
{
  "formula": "Dy6AlAg5",
  "functional": "PBE",
  "state": "relaxed",
  "lattice": [[5.1271, 0.0000, 0.0000], [0.0000, 7.3098, 0.0000], [-2.5553, 0.0000, 7.6970]],
  "species": ["Dy", "Dy", "Dy", "Dy", "Dy", "Dy", "Al", "Ag", "Ag", "Ag", "Ag", "Ag"],
  "fractional_positions": [[0.0000, 0.2476, 0.0000], [0.0000, 0.7524, 0.0000], [0.3332, 0.2510, 0.6664], [0.3332, 0.7490, 0.6664], [0.6668, 0.2510, 0.3336], [0.6668, 0.7490, 0.3336], [0.5000, 0.5000, 0.0000], [0.1600, 0.5000, 0.3198], [0.1680, 0.0000, 0.3361], [0.5000, 0.0000, 0.0000], [0.8320, 0.0000, 0.6639], [0.8400, 0.5000, 0.6802]],
  "sg": "P2/m, No. 10",
  "e_form_ev_per_fu": -4.0
}

[14]
{
  "formula": "PuTiNbV",
  "functional": "PBE",
  "state": "relaxed",
  "lattice": [[0.0000, 3.2808, 3.2808], [3.2808, 0.0000, 3.2808], [3.2808, 3.2808, 0.0000]],
  "species": ["Pu", "Ti", "Nb", "V"],
  "fractional_positions": [[0.0000, 0.0000, 0.0000], [0.7500, 0.7500, 0.7500], [0.5000, 0.5000, 0.5000], [0.2500, 0.2500, 0.2500]],
  "sg": "F-43m, No. 216",
  "e_form_ev_per_fu": 0.8
}

[15]
{
  "formula": "La13Dy3",
  "functional": "PBE",
  "state": "relaxed",
  "lattice": [[10.5638, 0.0000, 0.0000], [0.0000, 5.1822, 5.2025], [0.0000, -5.1822, 5.2025]],
  "species": ["La", "La", "La", "La", "La", "La", "La", "La", "La", "La", "La", "La", "La", "Dy", "Dy", "Dy"],
  "fractional_positions": [[0.0000, 0.0000, 0.0000], [0.0000, 0.0024, 0.4921], [0.0000, 0.4921, 0.0024], [0.0000, 0.4943, 0.4943], [0.2467, 0.7479, 0.7479], [0.2528, 0.2455, 0.7481], [0.2528, 0.7481, 0.2455], [0.5000, 0.4960, 0.4960], [0.5000, 0.4965, 0.9966], [0.5000, 0.9966, 0.4965], [0.7472, 0.2455, 0.7481], [0.7472, 0.7481, 0.2455], [0.7533, 0.7479, 0.7479], [0.2553, 0.2455, 0.2455], [0.5000, 0.9984, 0.9984], [0.7447, 0.2455, 0.2455]],
  "sg": "Amm2, No. 38",
  "e_form_ev_per_fu": 0.2
}

[16]
{
  "formula": "ZnSeCl",
  "functional": "PBE",
  "state": "relaxed",
  "lattice": [[0.0000, 3.2048, 3.2048], [3.2048, 0.0000, 3.2048], [3.2048, 3.2048, 0.0000]],
  "species": ["Zn", "Se", "Cl"],
  "fractional_positions": [[0.0000, 0.0000, 0.0000], [0.7500, 0.7500, 0.7500], [0.2500, 0.2500, 0.2500]],
  "e_form_raw_kj_per_mol_atoms": -3.7,
  "sg": "F-43m, No. 216"
}

[17]
{
  "formula": "TaMoP2S",
  "functional": "PBE",
  "state": "relaxed",
  "lattice": [[4.6748, 0.0000, 0.0000], [0.0000, 4.6748, 0.0000], [0.0000, 0.0000, 4.4848]],
  "species": ["Ta", "Mo", "P", "P", "S"],
  "fractional_positions": [[0.0000, 0.0000, 0.0000], [0.5000, 0.5000, 0.5000], [0.0000, 0.5000, 0.5000], [0.5000, 0.0000, 0.5000], [0.5000, 0.5000, 0.0000]],
  "e_form_raw_kj_per_mol_atoms": 92.5,
  "e_above_lowest_polymorph_mev_per_atom": 233,
  "sg": "P4/mmm, No. 123"
}

[18]
{
  "formula": "Tb2Ho6ErTm3",
  "functional": "PBE",
  "state": "relaxed",
  "lattice": [[3.0423, -5.2624, 0.0000], [3.0423, 5.2624, 0.0000], [-2.0186, 0.0000, 11.4581]],
  "species": ["Tb", "Tb", "Ho", "Ho", "Ho", "Ho", "Ho", "Ho", "Er", "Tm", "Tm", "Tm"],
  "fractional_positions": [[0.1666, 0.8334, 0.0000], [0.8334, 0.1666, 0.0000], [0.0826, 0.4157, 0.7484], [0.2512, 0.2512, 0.2517], [0.4157, 0.0826, 0.7484], [0.5843, 0.9174, 0.2516], [0.7488, 0.7488, 0.7483], [0.9174, 0.5843, 0.2516], [0.5000, 0.5000, 0.0000], [0.0000, 0.0000, 0.5000], [0.3334, 0.6666, 0.5000], [0.6666, 0.3334, 0.5000]],
  "sg": "C2/m, No. 12",
  "e_form_ev_per_fu": 0.3
}

[19]
{
  "formula": "MgTl12Hg6",
  "functional": "PBE",
  "state": "relaxed",
  "lattice": [[5.2127, 3.0096, 5.9158], [-5.2127, 3.0096, 5.9158], [0.0000, -6.0192, 5.9158]],
  "species": ["Mg", "Tl", "Tl", "Tl", "Tl", "Tl", "Tl", "Tl", "Tl", "Tl", "Tl", "Tl", "Tl", "Hg", "Hg", "Hg", "Hg", "Hg", "Hg"],
  "fractional_positions": [[0.0000, 0.0000, 0.0000], [0.1354, 0.1354, 0.5310], [0.1354, 0.5310, 0.1354], [0.1959, 0.5241, 0.5241], [0.4690, 0.8646, 0.8646], [0.4759, 0.4759, 0.8041], [0.4759, 0.8041, 0.4759], [0.5241, 0.1959, 0.5241], [0.5241, 0.5241, 0.1959], [0.5310, 0.1354, 0.1354], [0.8041, 0.4759, 0.4759], [0.8646, 0.4690, 0.8646], [0.8646, 0.8646, 0.4690], [0.1081, 0.7706, 0.7706], [0.2294, 0.2294, 0.8919], [0.2294, 0.8919, 0.2294], [0.7706, 0.1081, 0.7706], [0.7706, 0.7706, 0.1081], [0.8919, 0.2294, 0.2294]],
  "e_above_lowest_polymorph_mev_per_atom": 0,
  "sg": "R-3m, No. 166",
  "e_form_ev_per_fu": -0.1
}

[20]
{
  "formula": "Pr2HfPaP4",
  "functional": "PBE",
  "state": "relaxed",
  "lattice": [[6.8774, 0.0000, 0.0000], [0.0000, 3.9971, 0.0000], [-2.2924, 0.0000, 6.6261]],
  "species": ["Pr", "Pr", "Hf", "Pa", "P", "P", "P", "P"],
  "fractional_positions": [[0.0000, 0.0000, 0.0000], [0.5000, 0.5000, 0.0000], [0.0000, 0.5000, 0.5000], [0.5000, 0.0000, 0.5000], [0.2337, 0.0000, 0.7208], [0.2492, 0.5000, 0.2737], [0.7508, 0.5000, 0.7263], [0.7663, 0.0000, 0.2792]],
  "sg": "P2/m, No. 10",
  "e_form_ev_per_fu": -11.2
}